Material: Cr2NiW
Method: DFT, PBE-GGA
State: optimized geometry

a b c (Å): 4.1938 2.5308 4.8696
angles (deg): 81.01 90.00 90.00
Atoms (fractional coordinates):
Cr: 0.0000 0.9695 0.0106
Cr: 0.0000 0.5305 0.4894
Ni: 0.5000 0.2500 0.2500
W: 0.5000 0.7500 0.7500

Output
**V**: 51 Å³/f.u.
**Raw total energy**: -37.18 eV per cell
**Energy relative to the elements**: 4.61 kcal/mol of atoms